Entry 1:
Ho4InNi2 PBE optimized geometry; energy of formation from the pure elements = -0.230 eV/atom; density = 8.52 g/cm³
1.0
4.747 0.000 0.000
2.373 4.111 0.000
2.373 1.370 8.905
Ho In Ni
4 1 2
Direct
0.389 0.389 0.834
0.203 0.203 0.391
0.797 0.797 0.609
0.611 0.611 0.166
0.000 0.000 0.000
0.099 0.099 0.704
0.901 0.901 0.296

---

Entry 2:
Ho12InNi5 PBE optimized geometry; energy of formation from the pure elements = -0.354 eV/atom; density = 9.09 g/cm³
1.0
-5.737 5.751 -1.601
3.972 -2.060 -6.966
-3.409 -6.934 2.975
Ho In Ni
12 1 5
Direct
0.524 0.817 0.706
0.476 0.183 0.294
0.889 0.183 0.706
0.111 0.817 0.294
0.695 0.678 0.373
0.305 0.322 0.627
0.305 0.678 0.983
0.695 0.322 0.017
0.809 0.596 0.787
0.191 0.404 0.213
0.191 0.977 0.787
0.809 0.023 0.213
0.000 0.500 0.500
0.636 0.636 0.000
0.364 0.364 0.000
0.500 0.124 0.624
0.500 0.876 0.376
0.000 0.000 0.000

---

Entry 3:
Ho5In4Ni2 PBE optimized geometry; energy of formation from the pure elements = -0.527 eV/atom; density = 9.08 g/cm³
1.0
3.606 0.000 0.000
0.000 7.943 0.000
0.000 0.000 17.889
Ho In Ni
10 8 4
Direct
0.000 0.500 0.500
0.000 0.000 0.000
0.000 0.748 0.279
0.000 0.252 0.721
0.000 0.752 0.779
0.000 0.248 0.221
0.000 0.616 0.088
0.000 0.384 0.912
0.000 0.884 0.588
0.000 0.116 0.412
0.500 0.706 0.931
0.500 0.294 0.069
0.500 0.794 0.431
0.500 0.206 0.569
0.500 0.572 0.652
0.500 0.428 0.348
0.500 0.928 0.152
0.500 0.072 0.848
0.500 0.528 0.196
0.500 0.472 0.804
0.500 0.972 0.696
0.500 0.028 0.304

---

Entry 4:
Ho8In2Ni PBE optimized geometry; energy of formation from the pure elements = -0.220 eV/atom; density = 8.80 g/cm³
1.0
5.052 0.000 0.000
0.000 6.657 0.354
-2.526 -2.365 8.895
Ho In Ni
8 2 1
Direct
0.409 0.541 0.818
0.643 0.982 0.285
0.791 0.695 0.582
0.984 0.225 0.969
0.209 0.305 0.418
0.357 0.018 0.715
0.591 0.459 0.182
0.016 0.775 0.031
0.813 0.244 0.625
0.187 0.756 0.375
0.500 0.000 0.000

---

Repeat the third record exactly.
Ho5In4Ni2 PBE optimized geometry; energy of formation from the pure elements = -0.527 eV/atom; density = 9.08 g/cm³
1.0
3.606 0.000 0.000
0.000 7.943 0.000
0.000 0.000 17.889
Ho In Ni
10 8 4
Direct
0.000 0.500 0.500
0.000 0.000 0.000
0.000 0.748 0.279
0.000 0.252 0.721
0.000 0.752 0.779
0.000 0.248 0.221
0.000 0.616 0.088
0.000 0.384 0.912
0.000 0.884 0.588
0.000 0.116 0.412
0.500 0.706 0.931
0.500 0.294 0.069
0.500 0.794 0.431
0.500 0.206 0.569
0.500 0.572 0.652
0.500 0.428 0.348
0.500 0.928 0.152
0.500 0.072 0.848
0.500 0.528 0.196
0.500 0.472 0.804
0.500 0.972 0.696
0.500 0.028 0.304